ZnSe2O5 | PBE | relaxed

Computed properties:
Spin magnetization = 0.000 μB per cell
E_form (uncorrected) = -0.93 eV per atom

Cell lengths 6.918, 10.608, 6.179 Å; angles 90.00, 90.00, 90.00 degrees
Fractional positions:
Zn (0.000, 0.061, 0.250)
Zn (0.000, 0.939, 0.750)
Zn (0.500, 0.439, 0.750)
Zn (0.500, 0.561, 0.250)
Se (0.136, 0.345, 0.034)
Se (0.136, 0.655, 0.534)
Se (0.364, 0.155, 0.534)
Se (0.364, 0.845, 0.034)
Se (0.636, 0.155, 0.966)
Se (0.636, 0.845, 0.466)
Se (0.864, 0.345, 0.466)
Se (0.864, 0.655, 0.966)
O (0.000, 0.433, 0.250)
O (0.000, 0.567, 0.750)
O (0.155, 0.066, 0.547)
O (0.155, 0.934, 0.047)
O (0.199, 0.211, 0.165)
O (0.199, 0.789, 0.665)
O (0.301, 0.289, 0.665)
O (0.301, 0.711, 0.165)
O (0.345, 0.434, 0.047)
O (0.345, 0.566, 0.547)
O (0.500, 0.067, 0.750)
O (0.500, 0.933, 0.250)
O (0.655, 0.434, 0.453)
O (0.655, 0.566, 0.953)
O (0.699, 0.289, 0.835)
O (0.699, 0.711, 0.335)
O (0.801, 0.211, 0.335)
O (0.801, 0.789, 0.835)
O (0.845, 0.066, 0.953)
O (0.845, 0.934, 0.453)